Entry 1:
ScBe2Fe: optimized geometry, PBE.

Unit cell a=2.894 b=2.894 c=5.626 alpha=90.00 beta=90.00 gamma=90.00
Space group P4/mmm (No. 123)
Asymmetric unit:
Sc 0.000 0.000 0.000 [1 per cell]
Be 0.500 0.500 0.317 [2 per cell]
Fe 0.000 0.000 0.500 [1 per cell]

Output
- formation energy from the elements (kJ per mole of atoms) = -8.0
- excess energy over the best structure of this formula in the dataset (eV per atom) = 0.000
- N(E_F) (states/eV/atom) = 0.611
- spin magnetization (μB per atom) = 0.00

=====

Entry 2:
LiZn3S: optimized geometry, PBE.

Unit cell a=4.573 b=4.573 c=4.573 alpha=90.00 beta=90.00 gamma=90.00
Space group Pm-3m (No. 221)
Asymmetric unit:
Li 0.000 0.000 0.000 [1 per cell]
Zn 0.000 0.000 0.500 [3 per cell]
S 0.500 0.500 0.500 [1 per cell]

Output
- excess energy over the best structure of this formula in the dataset (eV per atom) = 0.162
- N(E_F) (states/eV/atom) = 0.534
- spin magnetization (μB per atom) = 0.00
- E_form (uncorrected) (meV per atom) = 521.1

=====

- Which value of N(E_F) does entry 2 give?
  0.534 states/eV/atom

=====

- Which value of N(E_F) does entry 1 give?
  0.611 states/eV/atom